Compound: RbMgUTe3
Source: Alexandria
Functional: PBE
Structure: optimized geometry

It has space group P2_1/m (No. 11), with a = 10.005 Å, b = 4.539 Å, c = 10.923 Å, α = 90.00°, β = 109.47° and γ = 90.00°. Symmetry generates all atoms from Rb at (0.209, 0.250, 0.238), Mg at (0.086, 0.250, 0.611), U at (0.334, 0.750, 0.866), Te at (0.113, 0.250, 0.871), Te at (0.211, 0.750, 0.540) and Te at (0.466, 0.750, 0.165).

The calculation puts the density of states at the Fermi level at 1.154 states/eV/atom. The value obtained for the uncorrected formation energy is -19.2 kcal/mol of atoms.

---

Compound: Rb2MgU2Te6
Source: Alexandria
Functional: PBE
Structure: optimized geometry

It has space group C2/m (No. 12), with a = 7.629 Å, b = 13.224 Å, c = 9.145 Å, α = 90.00°, β = 106.19° and γ = 90.00°. Symmetry generates all atoms from Rb at (0.000, 0.167, 0.000), Mg at (0.000, 0.000, 0.500), U at (0.000, 0.333, 0.500), Te at (0.231, 0.165, 0.694) and Te at (0.232, 0.500, 0.693).

The calculation puts the density of states at the Fermi level at 0.968 states/eV/atom. The value obtained for the uncorrected formation energy is -19.1 kcal/mol of atoms.

---

Compound: Rb3Mg2UTe6
Source: Alexandria
Functional: PBE
Structure: optimized geometry

It has space group C2/m (No. 12), with a = 7.679 Å, b = 13.308 Å, c = 8.891 Å, α = 90.00°, β = 106.74° and γ = 90.00°. Symmetry generates all atoms from Rb at (0.000, 0.000, 0.000), Rb at (0.000, 0.332, 0.000), Mg at (0.000, 0.167, 0.500), U at (0.000, 0.500, 0.500), Te at (0.230, 0.334, 0.692) and Te at (0.232, 0.000, 0.692).

The calculation puts the density of states at the Fermi level at 0.076 states/eV/atom. The value obtained for the uncorrected formation energy is -20.3 kcal/mol of atoms.

---

Compound: Rb2MgZr2Te6
Source: Alexandria
Functional: PBE
Structure: optimized geometry

It has space group C2/m (No. 12), with a = 7.312 Å, b = 12.706 Å, c = 9.122 Å, α = 90.00°, β = 105.48° and γ = 90.00°. Symmetry generates all atoms from Rb at (0.000, 0.165, 0.000), Mg at (0.000, 0.000, 0.500), Zr at (0.000, 0.332, 0.500), Te at (0.221, 0.500, 0.690) and Te at (0.234, 0.168, 0.690).

The value obtained for the uncorrected formation energy is -21.7 kcal/mol of atoms.

---

Compound: RbMg14Ti
Source: Alexandria
Functional: PBE
Structure: optimized geometry

It has space group Amm2 (No. 38), with a = 10.674 Å, b = 6.540 Å, c = 11.222 Å, α = 90.00°, β = 90.00° and γ = 90.00°. Symmetry generates all atoms from Rb at (0.000, 0.000, 0.000), Mg at (0.000, 0.248, 0.255), Mg at (0.237, 0.000, 0.351), Mg at (0.257, 0.240, 0.596), Mg at (0.268, 0.000, 0.839), Mg at (0.500, 0.000, 0.014), Mg at (0.500, 0.000, 0.514), Mg at (0.500, 0.243, 0.263) and Ti at (0.000, 0.000, 0.522).

The calculation puts the density of states at the Fermi level at 0.677 states/eV/atom. The value obtained for the energy above the most stable polymorph in this dataset is 29 meV/atom.

---

Compound: RbMgTi3
Source: Alexandria
Functional: PBE
Structure: optimized geometry

It has space group Pm-3m (No. 221), with a = 5.226 Å, b = 5.226 Å, c = 5.226 Å, α = 90.00°, β = 90.00° and γ = 90.00°. Symmetry generates all atoms from Rb at (0.000, 0.000, 0.000), Mg at (0.500, 0.500, 0.500) and Ti at (0.000, 0.500, 0.500).

The calculation puts the density of states at the Fermi level at 1.833 states/eV/atom. The value obtained for the energy above the most stable polymorph in this dataset is 0 meV/atom.

---

Compound: RbMg6Ti
Source: Alexandria
Functional: PBE
Structure: optimized geometry

It has space group Amm2 (No. 38), with a = 5.316 Å, b = 6.670 Å, c = 11.548 Å, α = 90.00°, β = 90.00° and γ = 90.00°. Symmetry generates all atoms from Rb at (0.000, 0.000, 0.000), Mg at (0.000, 0.000, 0.510), Mg at (0.000, 0.233, 0.744), Mg at (0.500, 0.000, 0.178), Mg at (0.500, 0.234, 0.411) and Ti at (0.500, 0.000, 0.666).

The calculation puts the density of states at the Fermi level at 0.612 states/eV/atom. The value obtained for the energy above the most stable polymorph in this dataset is 31 meV/atom.

---

Compound: RbMg14Ti
Source: Alexandria
Functional: PBE
Structure: optimized geometry

It has space group P-6m2 (No. 187), with a = 6.5718 Å, b = 6.5718 Å, c = 10.4573 Å, α = 90.00°, β = 90.00° and γ = 120.00°. Symmetry generates all atoms from Rb at (0.0000, 0.0000, 0.0000), Mg at (0.0113, 0.5056, 0.0000), Mg at (0.1674, 0.3348, 0.2711), Mg at (0.5025, 0.0050, 0.5000), Mg at (0.6667, 0.3333, 0.2439) and Ti at (0.0000, 0.0000, 0.5000).

The calculation puts the density of states at the Fermi level at 0.607 states/eV/atom. The value obtained for the energy above the most stable polymorph in this dataset is 0 meV/atom.

---

Compound: RbMg3Ti
Source: Alexandria
Functional: PBE
Structure: optimized geometry

It has space group Pm-3m (No. 221), with a = 5.937 Å, b = 5.937 Å, c = 5.937 Å, α = 90.00°, β = 90.00° and γ = 90.00°. Symmetry generates all atoms from Rb at (0.000, 0.000, 0.000), Mg at (0.000, 0.000, 0.500) and Ti at (0.500, 0.500, 0.500).

The calculation puts the density of states at the Fermi level at 1.036 states/eV/atom. The value obtained for the energy above the most stable polymorph in this dataset is 923 meV/atom.

---

Compound: RbMgTi3
Source: Alexandria
Functional: PBE
Structure: optimized geometry

It has space group Pm-3m (No. 221), with a = 4.791 Å, b = 4.791 Å, c = 4.791 Å, α = 90.00°, β = 90.00° and γ = 90.00°. Symmetry generates all atoms from Rb at (0.000, 0.000, 0.000), Mg at (0.500, 0.500, 0.500) and Ti at (0.000, 0.000, 0.500).

The calculation puts the density of states at the Fermi level at 0.921 states/eV/atom. The value obtained for the energy above the most stable polymorph in this dataset is 398 meV/atom.

---

Compound: RbMg6Ti
Source: Alexandria
Functional: PBE
Structure: optimized geometry

It has space group P4/mmm (No. 123), with a = 7.189 Å, b = 7.189 Å, c = 4.133 Å, α = 90.00°, β = 90.00° and γ = 90.00°. Symmetry generates all atoms from Rb at (0.000, 0.000, 0.000), Mg at (0.000, 0.500, 0.000), Mg at (0.289, 0.289, 0.500) and Ti at (0.500, 0.500, 0.000).

The calculation puts the density of states at the Fermi level at 0.910 states/eV/atom. The value obtained for the energy above the most stable polymorph in this dataset is 0 meV/atom.

---

Compound: Rb2MgTi
Source: Alexandria
Functional: PBE
Structure: optimized geometry

It has space group I-42d (No. 122), with a = 10.392 Å, b = 10.392 Å, c = 6.790 Å, α = 90.00°, β = 90.00° and γ = 90.00°. Symmetry generates all atoms from Rb at (0.240, 0.750, 0.125), Mg at (0.000, 0.000, 0.000) and Ti at (0.000, 0.000, 0.500).

The calculation puts the density of states at the Fermi level at 1.669 states/eV/atom.

---

Calculated values (hartree per atom) of VASP energy for the records, taken in order: -0.1731; -0.1807; -0.1433; -0.1665; -0.0640; -0.1364; -0.0730; -0.0651; -0.0416; -0.1218; -0.0741; -0.0667.